A plane-wave DFT calculation with PBE was carried out for CoMoIr3 after structural relaxation.

It has space group Pm-3m (No. 221), with a = 4.697 Å, b = 4.697 Å, c = 4.697 Å, α = 90.00°, β = 90.00° and γ = 90.00°. Symmetry generates all atoms from Co at (0.000, 0.000, 0.000), Mo at (0.500, 0.500, 0.500) and Ir at (0.000, 0.500, 0.500).

The calculation puts the formation energy at 9.53 eV per formula unit. For the relative energy among the computed polymorphs, the calculation gives 1.741 eV/atom.